Record 1
DFT (PBE-GGA) results for a relaxed TiNbTcRh crystal.

Structure (CIF):
```
data_TiNbTcRh
_cell_length_a 6.307
_cell_length_b 6.307
_cell_length_c 6.307
_cell_angle_alpha 90.00
_cell_angle_beta 90.00
_cell_angle_gamma 90.00
_space_group_name_H-M_alt 'F -4 3 m'
_space_group_IT_number 216
_space_group_name_Hall 'F -4 2 3'
loop_
_atom_site_label
_atom_site_fract_x
_atom_site_fract_y
_atom_site_fract_z
Ti1 0.000 0.000 0.000
Nb1 0.000 0.000 0.500
Tc1 0.250 0.250 0.250
Rh1 0.250 0.250 0.750
```

Results
As for the calculated formation energy: -482 meV/atom. The value obtained for the magnetic moment is 0.0 μB/f.u. As for the energy above the most stable polymorph in this dataset: 45 meV per atom. The calculation puts the density of states at the Fermi level at 1.05 states/eV per atom.

=====

Record 2
DFT (PBE-GGA) results for a relaxed TmNbTcRh crystal.

Structure (CIF):
```
data_TmNbTcRh
_cell_length_a 6.543
_cell_length_b 6.543
_cell_length_c 6.543
_cell_angle_alpha 90.00
_cell_angle_beta 90.00
_cell_angle_gamma 90.00
_space_group_name_H-M_alt 'F -4 3 m'
_space_group_IT_number 216
_space_group_name_Hall 'F -4 2 3'
loop_
_atom_site_label
_atom_site_fract_x
_atom_site_fract_y
_atom_site_fract_z
Tm1 0.000 0.000 0.000
Nb1 0.000 0.000 0.500
Tc1 0.250 0.250 0.250
Rh1 0.250 0.250 0.750
```

Results
As for the calculated formation energy: -398 meV/atom. The value obtained for the magnetic moment is 0.0 μB/f.u. The calculation puts the density of states at the Fermi level at 0.58 states/eV per atom.

=====

Record 3
DFT (PBE-GGA) results for a relaxed Nb2Te4Rh crystal.

Structure (CIF):
```
data_Nb2Te4Rh
_cell_length_a 14.334
_cell_length_b 3.727
_cell_length_c 6.823
_cell_angle_alpha 90.00
_cell_angle_beta 115.93
_cell_angle_gamma 90.00
_space_group_name_H-M_alt 'C 1 2/m 1'
_space_group_IT_number 12
loop_
_space_group_symop_operation_xyz
'x,y,z'
'-x,-y,-z'
'-x,y,-z'
'x,-y,z'
'x+1/2,y+1/2,z'
'-x+1/2,-y+1/2,-z'
'-x+1/2,y+1/2,-z'
'x+1/2,-y+1/2,z'
loop_
_atom_site_label
_atom_site_fract_x
_atom_site_fract_y
_atom_site_fract_z
Nb1 0.243 0.000 0.177
Te1 0.096 0.500 0.938
Te2 0.138 0.000 0.475
Rh1 0.000 0.500 0.500
```

Results
The value obtained for the magnetic moment is 0.0 μB/f.u. The calculation puts the density of states at the Fermi level at 0.61 states/eV per atom. The uncorrected formation energy is -418 meV/atom.

=====

Record 4
DFT (PBE-GGA) results for a relaxed Nb2TeRh2 crystal.

Structure (CIF):
```
data_Nb2TeRh2
_cell_length_a 7.854
_cell_length_b 7.854
_cell_length_c 2.965
_cell_angle_alpha 90.00
_cell_angle_beta 90.00
_cell_angle_gamma 90.00
_space_group_name_H-M_alt 'P 4/m b m'
_space_group_IT_number 127
_space_group_name_Hall '-P 4 2ab'
loop_
_atom_site_label
_atom_site_fract_x
_atom_site_fract_y
_atom_site_fract_z
Nb1 0.154 0.346 0.000
Te1 0.000 0.000 0.500
Rh1 0.136 0.636 0.500
```

Results
The value obtained for the magnetic moment is 0.0 μB/f.u. The calculation puts the density of states at the Fermi level at 0.80 states/eV per atom. The uncorrected formation energy is -136 meV/atom.

=====

Record 5
DFT (PBE-GGA) results for a relaxed NbTeRh3 crystal.

Structure (CIF):
```
data_NbTeRh3
_cell_length_a 4.762
_cell_length_b 4.762
_cell_length_c 4.762
_cell_angle_alpha 90.00
_cell_angle_beta 90.00
_cell_angle_gamma 90.00
_space_group_name_H-M_alt 'P m -3 m'
_space_group_IT_number 221
_space_group_name_Hall '-P 4 2 3'
loop_
_atom_site_label
_atom_site_fract_x
_atom_site_fract_y
_atom_site_fract_z
Nb1 0.000 0.000 0.000
Te1 0.500 0.500 0.500
Rh1 0.000 0.000 0.500
```

Results
The value obtained for the magnetic moment is 0.0 μB/f.u. As for the energy above the most stable polymorph in this dataset: 0 meV per atom. The calculation puts the density of states at the Fermi level at 0.66 states/eV per atom. The uncorrected formation energy is 819 meV/atom.

=====

Record 6
DFT (PBE-GGA) results for a relaxed NbTeRh3 crystal.

Structure (CIF):
```
data_NbTeRh3
_cell_length_a 4.748
_cell_length_b 4.748
_cell_length_c 4.748
_cell_angle_alpha 90.00
_cell_angle_beta 90.00
_cell_angle_gamma 90.00
_space_group_name_H-M_alt 'P m -3 m'
_space_group_IT_number 221
_space_group_name_Hall '-P 4 2 3'
loop_
_atom_site_label
_atom_site_fract_x
_atom_site_fract_y
_atom_site_fract_z
Nb1 0.000 0.000 0.000
Te1 0.500 0.500 0.500
Rh1 0.000 0.500 0.500
```

Results
The value obtained for the magnetic moment is 0.0 μB/f.u. As for the energy above the most stable polymorph in this dataset: 290 meV per atom. The calculation puts the density of states at the Fermi level at 2.48 states/eV per atom. The uncorrected formation energy is 1109 meV/atom.